[1]
Pm4CoNi2 | PBE | relaxed

Properties
SG   I4/mmm (139)

a b c (Å): 5.309 5.309 7.574
angles (deg): 110.52 110.52 90.00
Atoms (fractional coordinates):
Pm  0.000  0.500  0.000
Ni  0.593  0.593  0.187
Pm  0.500  0.000  0.000
Ni  0.407  0.407  0.813
Co  0.000  0.000  0.000
Pm  0.205  0.205  0.410
Pm  0.795  0.795  0.590

---

[2]
Sm4CdHg2Pd | PBE | relaxed

Properties
SG   R-3m (166)

a b c (Å): 5.304 5.304 9.137
angles (deg): 73.13 73.13 60.00
Atoms (fractional coordinates):
Sm  0.383  0.383  0.851
Sm  0.870  0.870  0.391
Sm  0.130  0.130  0.609
Pd  0.500  0.500  0.500
Hg  0.259  0.259  0.224
Hg  0.741  0.741  0.776
Cd  0.000  0.000  0.000
Sm  0.617  0.617  0.149

---

[3]
KIn8 | PBE | relaxed

Properties
SG   I4/mmm (139)

a b c (Å): 5.115 7.543 7.543
angles (deg): 83.40 70.18 70.18
Atoms (fractional coordinates):
K  0.000  0.000  0.000
In  0.344  0.656  0.656
In  0.677  0.000  0.646
In  0.000  0.656  0.344
In  0.000  0.344  0.656
In  0.677  0.646  0.000
In  0.323  0.000  0.354
In  0.656  0.344  0.344
In  0.323  0.354  0.000

---

[4]
Rb2CdHI6 | PBE | relaxed

Properties
SG   I4/mmm (139)

a b c (Å): 8.938 8.938 8.200
angles (deg): 56.98 56.98 90.00
Atoms (fractional coordinates):
H  0.500  0.500  0.000
I  0.773  0.773  0.000
Cd  0.000  0.000  0.000
I  0.682  0.682  0.636
Rb  0.250  0.750  0.500
Rb  0.750  0.250  0.500
I  0.318  0.318  0.364
I  0.773  0.227  0.000
I  0.227  0.773  0.000
I  0.227  0.227  0.000

---

[5]
KZnAs4 | PBE | relaxed

Properties
SG   F-43m (216)

a b c (Å): 6.021 6.021 6.021
angles (deg): 60.00 60.00 60.00
Atoms (fractional coordinates):
As  0.930  0.357  0.357
As  0.357  0.357  0.930
As  0.357  0.930  0.357
Zn  0.000  0.000  0.000
As  0.357  0.357  0.357
K  0.750  0.750  0.750

---

[6]
V3BiS | PBE | relaxed

Properties
E_form (uncorrected)   87.7 meV per atom
SG   Pm-3m (221)
Polymorph energy (0 for the lowest one)   0.0 meV per atom

a b c (Å): 4.378 4.378 4.378
angles (deg): 90.00 90.00 90.00
Atoms (fractional coordinates):
V  0.000  0.000  0.500
S  0.000  0.000  0.000
Bi  0.500  0.500  0.500
V  0.000  0.500  0.000
V  0.500  0.000  0.000

---

[7]
TiNbAu | PBE | relaxed

Properties
SG   P-3m1 (164)
Polymorph energy (0 for the lowest one)   0.0 meV per atom

a b c (Å): 4.527 4.527 5.832
angles (deg): 89.99 89.99 60.02
Atoms (fractional coordinates):
Au  0.667  0.667  0.103
Ti  0.000  0.000  0.743
Ti  0.000  0.000  0.257
Nb  0.667  0.667  0.591
Au  0.333  0.333  0.897
Nb  0.333  0.333  0.409

---

| no. | electronic total energy (eV per atom) |
| --- | --- |
| 1 | -5.32 |
| 2 | -3.71 |
| 3 | -2.57 |
| 4 | -2.22 |
| 5 | -3.43 |
| 6 | -6.99 |
| 7 | -7.32 |